# 1
# U4Ge, relaxed, DFT GGA-PBE
# - density (Mg/m³) = 11.345
# - E above lowest polymorph (eV/atom) = 1.380
# - ΔH_f (0 K) (eV/atom) = 1.292
# - DFT total energy (eV per cell) = -43.312
data_U4Ge
_cell_length_a 5.3131
_cell_length_b 5.3131
_cell_length_c 5.3131
_cell_angle_alpha 90.00
_cell_angle_beta 90.00
_cell_angle_gamma 90.00
_space_group_name_H-M_alt 'P m -3 m'
_space_group_IT_number 221
_space_group_name_Hall '-P 4 2 3'
loop_
_atom_site_label
_atom_site_type_symbol
_atom_site_fract_x
_atom_site_fract_y
_atom_site_fract_z
U1 U 0.0000 0.0000 0.0000
U2 U 0.0000 0.5000 0.5000
Ge1 Ge 0.5000 0.5000 0.5000

---

# 2
# UGe2, relaxed, DFT GGA-PBE
# - density (Mg/m³) = 9.636
# - ΔH_f (0 K) (eV/atom) = 0.063
# - DFT total energy (eV per cell) = -40.671
data_UGe2
_cell_length_a 5.7131
_cell_length_b 5.7102
_cell_length_c 4.9446
_cell_angle_alpha 90.00
_cell_angle_beta 125.02
_cell_angle_gamma 90.00
_space_group_name_H-M_alt 'C 1 2/m 1'
_space_group_IT_number 12
loop_
_space_group_symop_operation_xyz
'x,y,z'
'-x,-y,-z'
'-x,y,-z'
'x,-y,z'
'x+1/2,y+1/2,z'
'-x+1/2,-y+1/2,-z'
'-x+1/2,y+1/2,-z'
'x+1/2,-y+1/2,z'
loop_
_atom_site_label
_atom_site_type_symbol
_atom_site_fract_x
_atom_site_fract_y
_atom_site_fract_z
U1 U 0.0000 0.0000 0.0000
Ge1 Ge 0.1478 0.5000 0.2949